Record 1
RbCaF3: optimized geometry, PBE.

Computed properties:
Its total DFT energy (no corrections) is -23.9 eV/cell. The symmetry is R3m. The volume is 156 Å³ per cell. For the density of states at the Fermi level, the calculation gives 0.000 states/eV per atom.

a = 5.380 Å, b = 5.380 Å, c = 5.380 Å
α = 88.96°, β = 88.96°, γ = 88.96°
Element x y z (fractional)
Rb  0.000  0.000  0.000
Ca  0.639  0.639  0.639
F  0.476  0.889  0.889
F  0.889  0.476  0.889
F  0.889  0.889  0.476



Record 2
RbCaF3: optimized geometry, PBE.

Computed properties:
Its total DFT energy (no corrections) is -50.5 eV/cell. The symmetry is P6_3/mmc. The volume is 211 Å³ per cell. For the density of states at the Fermi level, the calculation gives 0.000 states/eV per atom.

a = 4.046 Å, b = 4.046 Å, c = 14.869 Å
α = 90.00°, β = 90.00°, γ = 120.00°
Element x y z (fractional)
Rb  0.000  0.000  0.000
Rb  0.000  0.000  0.500
Ca  0.333  0.667  0.250
Ca  0.667  0.333  0.750
F  0.000  0.000  0.250
F  0.000  0.000  0.750
F  0.333  0.667  0.105
F  0.333  0.667  0.395
F  0.667  0.333  0.605
F  0.667  0.333  0.895



Record 3
RbCaF3: optimized geometry, PBE.

Computed properties:
Its total DFT energy (no corrections) is -48.1 eV/cell. The symmetry is I-4m2. The volume is 200 Å³ per cell. For the density of states at the Fermi level, the calculation gives 0.000 states/eV per atom.

a = 8.351 Å, b = 8.351 Å, c = 8.351 Å
α = 144.06°, β = 144.06°, γ = 51.74°
Element x y z (fractional)
Rb  0.107  0.107  0.000
Rb  0.893  0.893  0.000
Ca  0.500  0.500  0.000
Ca  0.750  0.250  0.500
F  0.029  0.529  0.500
F  0.121  0.359  0.762
F  0.471  0.971  0.500
F  0.597  0.359  0.238
F  0.641  0.403  0.762
F  0.641  0.879  0.238



Record 4
RbCaF2: optimized geometry, PBE.

Computed properties:
Its total DFT energy (no corrections) is -14.9 eV/cell. The symmetry is Fm-3m. The volume is 81 Å³ per cell. For the density of states at the Fermi level, the calculation gives 0.892 states/eV per atom.

a = 4.850 Å, b = 4.850 Å, c = 4.850 Å
α = 60.00°, β = 60.00°, γ = 60.00°
Element x y z (fractional)
Rb  0.000  0.000  0.000
Ca  0.500  0.500  0.500
F  0.250  0.250  0.250
F  0.750  0.750  0.750



Record 5
Rb4CaF5: optimized geometry, PBE.

Computed properties:
Its total DFT energy (no corrections) is -42.9 eV/cell. The symmetry is I4/m. The volume is 263 Å³ per cell. For the density of states at the Fermi level, the calculation gives 0.146 states/eV per atom.

a = 7.975 Å, b = 7.975 Å, c = 7.975 Å
α = 94.55°, β = 94.55°, γ = 147.29°
Element x y z (fractional)
Rb  0.091  0.738  0.829
Rb  0.262  0.091  0.352
Rb  0.738  0.909  0.648
Rb  0.909  0.262  0.171
Ca  0.500  0.500  0.000
F  0.000  0.000  0.000
F  0.321  0.613  0.934
F  0.387  0.321  0.708
F  0.613  0.679  0.292
F  0.679  0.387  0.066



Record 6
RbCaF3: optimized geometry, PBE.

Computed properties:
Its total DFT energy (no corrections) is -51.9 eV/cell. The symmetry is P4/mbm. The volume is 183 Å³ per cell. For the density of states at the Fermi level, the calculation gives 0.000 states/eV per atom.

a = 6.354 Å, b = 6.354 Å, c = 4.530 Å
α = 90.00°, β = 90.00°, γ = 90.00°
Element x y z (fractional)
Rb  0.000  0.500  0.000
Rb  0.500  0.000  0.000
Ca  0.000  0.000  0.500
Ca  0.500  0.500  0.500
F  0.000  0.000  0.000
F  0.219  0.281  0.500
F  0.281  0.781  0.500
F  0.500  0.500  0.000
F  0.719  0.219  0.500
F  0.781  0.719  0.500